Entry 1:
{"formula": "YMg2Pd2", "functional": "GGA-PBE", "state": "optimized geometry", "ef_ev_per_atom": -0.561, "spacegroup": "No. 127", "cell": [[-3.575, 7.071, 0.111], [-4.261, -2.054, -6.358], [-2.158, -1.119, 1.808]], "species": ["Y", "Y", "Mg", "Mg", "Mg", "Mg", "Pd", "Pd", "Pd", "Pd"], "frac_coords": [[0.000, 0.000, 0.000], [0.500, 0.500, 0.000], [0.376, 0.876, 0.000], [0.876, 0.624, 0.000], [0.624, 0.124, 0.000], [0.124, 0.376, 0.000], [0.174, 0.674, 0.500], [0.674, 0.826, 0.500], [0.826, 0.326, 0.500], [0.326, 0.174, 0.500]]}


Entry 2:
{"formula": "LaTmSc2Se4", "functional": "GGA-PBE", "state": "optimized geometry", "formation_energy_uncorrected_ev_per_atom": -1.69, "spacegroup": "No. 10", "cell": [[-1.149, 3.786, -0.388], [-5.803, -2.095, -3.259], [-5.040, -1.040, 4.780]], "species": ["La", "Tm", "Sc", "Sc", "Se", "Se", "Se", "Se"], "frac_coords": [[0.500, 0.500, 0.000], [0.000, 0.500, 0.500], [0.000, 0.000, 0.000], [0.500, 0.000, 0.500], [0.000, 0.775, 0.730], [0.000, 0.225, 0.270], [0.500, 0.767, 0.256], [0.500, 0.233, 0.744]]}


Calculated total moment in order - 0.337 0.000 μB/f.u.
Calculated energy in order - -4.57 -6.19 eV per atom